Record 1
# CdInNF2

An optimized crystal structure of CdInNF2 (PBE, Alexandria).

Computed properties:
* ΔE_f (raw): -44.5 kJ/mol of atoms
* SG: P4/mmm (123)
* offset from the most stable computed form: 329 meV per atom

abc: 4.283 4.283 4.541
angles: 90.00 90.00 90.00
Atoms (fractional coordinates):
N1 0.000 0.000 0.500
F1 0.000 0.500 0.000
F2 0.500 0.000 0.000
Cd1 0.000 0.000 0.000
In1 0.500 0.500 0.500


Record 2
# AcCuH8Pd2

An optimized crystal structure of AcCuH8Pd2 (PBE, Alexandria).

Computed properties:
* total energy: -46.9 eV/f.u.
* SG: R-3 (148)

abc: 4.764 4.764 6.506
angles: 68.53 68.53 60.00
Atoms (fractional coordinates):
Ac1 0.500 0.500 0.500
Cu1 0.000 0.000 0.000
H1 0.189 0.189 0.432
H2 0.662 0.239 0.164
H3 0.811 0.811 0.568
H4 0.934 0.662 0.164
H5 0.066 0.338 0.836
H6 0.239 0.934 0.164
H7 0.761 0.066 0.836
H8 0.338 0.761 0.836
Pd1 0.287 0.287 0.140
Pd2 0.713 0.713 0.860


Record 3
# Y3Co

An optimized crystal structure of Y3Co (PBE, Alexandria).

Computed properties:
* energy of formation from the pure elements: 0.1694 eV/atom
* SG: P6_3/mmc (194)

abc: 7.416 7.416 4.315
angles: 90.00 90.00 120.00
Atoms (fractional coordinates):
Y1 0.810 0.190 0.250
Y2 0.190 0.810 0.750
Y3 0.810 0.621 0.250
Y4 0.190 0.379 0.750
Y5 0.379 0.190 0.250
Y6 0.621 0.810 0.750
Co1 0.333 0.667 0.250
Co2 0.667 0.333 0.750